# CsNiOs3 PBE optimized geometry
# E_form (eV/atom): 2.36
# Polymorph energy (0 for the lowest one) (eV/atom): 0.000
# N(E_F) (states/eV per cell): 7.56
# Crystal system: cubic
# Density (g/cm³): 11.951
data_CsNiOs3
_cell_length_a 4.7314
_cell_length_b 4.7314
_cell_length_c 4.7314
_cell_angle_alpha 90.00
_cell_angle_beta 90.00
_cell_angle_gamma 90.00
_space_group_name_H-M_alt 'P m -3 m'
_space_group_IT_number 221
_space_group_name_Hall '-P 4 2 3'
loop_
_atom_site_label
_atom_site_fract_x
_atom_site_fract_y
_atom_site_fract_z
Cs1 0.0000 0.0000 0.0000
Ni1 0.5000 0.5000 0.5000
Os1 0.0000 0.5000 0.5000

---

# Tl5CdHgPb2 PBE optimized geometry
# E_form (eV/atom): 0.04
# N(E_F) (states/eV per cell): 18.04
# Crystal system: orthorhombic
# Density (g/cm³): 10.807
data_Tl5CdHgPb2
_cell_length_a 3.3639
_cell_length_b 19.5450
_cell_length_c 16.3528
_cell_angle_alpha 90.00
_cell_angle_beta 90.00
_cell_angle_gamma 90.00
_space_group_name_H-M_alt 'C m c 21'
_space_group_IT_number 36
loop_
_space_group_symop_operation_xyz
'x,y,z'
'-x,-y,z+1/2'
'-x,y,z'
'x,-y,z+1/2'
'x+1/2,y+1/2,z'
'-x+1/2,-y+1/2,z+1/2'
'-x+1/2,y+1/2,z'
'x+1/2,-y+1/2,z+1/2'
loop_
_atom_site_label
_atom_site_fract_x
_atom_site_fract_y
_atom_site_fract_z
Tl1 0.0000 0.0363 0.0000
Tl2 0.0000 0.1972 0.3345
Tl3 0.0000 0.2083 0.6725
Tl4 0.0000 0.2081 0.9994
Tl5 0.0000 0.4548 0.8264
Cd1 0.0000 0.3753 0.6560
Hg1 0.0000 0.0350 0.6753
Pb1 0.0000 0.3742 0.3341
Pb2 0.0000 0.3793 0.0138

---

# YCoSn3 PBE optimized geometry
# E_form (eV/atom): -0.32
# N(E_F) (states/eV per cell): 7.99
# Crystal system: orthorhombic
# Density (g/cm³): 7.226
data_YCoSn3
_cell_length_a 4.4129
_cell_length_b 4.5583
_cell_length_c 11.5145
_cell_angle_alpha 90.00
_cell_angle_beta 90.00
_cell_angle_gamma 90.00
_space_group_name_H-M_alt 'A m m 2'
_space_group_IT_number 38
loop_
_space_group_symop_operation_xyz
'x,y,z'
'-x,-y,z'
'-x,y,z'
'x,-y,z'
'x,y+1/2,z+1/2'
'-x,-y+1/2,z+1/2'
'-x,y+1/2,z+1/2'
'x,-y+1/2,z+1/2'
loop_
_atom_site_label
_atom_site_fract_x
_atom_site_fract_y
_atom_site_fract_z
Y1 0.0000 0.0000 0.0000
Co1 0.0000 0.0000 0.3147
Sn1 0.0000 0.0000 0.7142
Sn2 0.5000 0.0000 0.1912
Sn3 0.5000 0.0000 0.4516

---

# Ba2In2Cl PBE optimized geometry
# Formation energy without anion corrections (eV/atom): -0.785
# N(E_F) (states/eV per cell): 9.98
# Crystal system: tetragonal
# Density (g/cm³): 4.285
data_Ba2In2Cl
_cell_length_a 8.6685
_cell_length_b 8.6685
_cell_length_c 5.5669
_cell_angle_alpha 90.00
_cell_angle_beta 90.00
_cell_angle_gamma 90.00
_space_group_name_H-M_alt 'P 4/m b m'
_space_group_IT_number 127
_space_group_name_Hall '-P 4 2ab'
loop_
_atom_site_label
_atom_site_fract_x
_atom_site_fract_y
_atom_site_fract_z
Ba1 0.1825 0.3175 0.0000
In1 0.1167 0.6167 0.5000
Cl1 0.0000 0.0000 0.0000

---

The lowest density belongs to which entry?
Ba2In2Cl